Record 1
# AcPrGdEr

Crystalline AcPrGdEr at its relaxed geometry (PBE, Alexandria).

Output
Total magnetic moment   1.96 μB per atom
Density of states at the Fermi level   1.89 states/eV/atom
E_form   0.102 eV/atom

```
data_AcPrGdEr
_chemical_formula_sum 'Ac4 Pr4 Gd4 Er4'
_cell_length_a 8.319
_cell_length_b 8.319
_cell_length_c 8.319
_cell_angle_alpha 90.00
_cell_angle_beta 90.00
_cell_angle_gamma 90.00
_space_group_name_H-M_alt 'F -4 3 m'
_space_group_IT_number 216
_space_group_name_Hall 'F -4 2 3'
loop_
_atom_site_label
_atom_site_type_symbol
_atom_site_fract_x
_atom_site_fract_y
_atom_site_fract_z
_atom_site_occupancy
Ac1 Ac 0.000 0.000 0.000 1
Pr1 Pr 0.000 0.000 0.500 1
Gd1 Gd 0.250 0.250 0.750 1
Er1 Er 0.250 0.250 0.250 1
```

***

Record 2
# VCu4

Crystalline VCu4 at its relaxed geometry (PBE, Alexandria).

Output
Total magnetic moment   0.47 μB per atom
Density of states at the Fermi level   0.98 states/eV/atom
E_form   1.437 eV/atom

```
data_VCu4
_chemical_formula_sum 'V1 Cu4'
_cell_length_a 4.505
_cell_length_b 4.505
_cell_length_c 4.505
_cell_angle_alpha 90.00
_cell_angle_beta 90.00
_cell_angle_gamma 90.00
_space_group_name_H-M_alt 'P m -3 m'
_space_group_IT_number 221
_space_group_name_Hall '-P 4 2 3'
loop_
_atom_site_label
_atom_site_type_symbol
_atom_site_fract_x
_atom_site_fract_y
_atom_site_fract_z
_atom_site_occupancy
V1 V 0.000 0.000 0.000 1
Cu1 Cu 0.000 0.000 0.500 1
Cu2 Cu 0.500 0.500 0.500 1
```